# Rb2MnF8, relaxed, DFT PBE with a Hubbard U
# - Final energy: -4.329 eV/atom
data_Rb2MnF8
_chemical_formula_sum 'Rb4 Mn2 F16'
_cell_length_a 10.872
_cell_length_b 6.398
_cell_length_c 6.739
_cell_angle_alpha 90.00
_cell_angle_beta 117.31
_cell_angle_gamma 90.00
_symmetry_space_group_name_H-M 'C 1 2/m 1'
_symmetry_Int_Tables_number 12
loop_
_symmetry_equiv_pos_as_xyz
'x,y,z'
'-x,-y,-z'
'-x,y,-z'
'x,-y,z'
'x+1/2,y+1/2,z'
'-x+1/2,-y+1/2,-z'
'-x+1/2,y+1/2,-z'
'x+1/2,-y+1/2,z'
loop_
_atom_site_label
_atom_site_type_symbol
_atom_site_fract_x
_atom_site_fract_y
_atom_site_fract_z
Rb1 Rb 0.240 0.000 0.247
Mn1 Mn 0.000 0.500 0.000
F1 F 0.019 0.000 0.617
F2 F 0.087 0.296 0.915
F3 F 0.149 0.500 0.285